[1]
DFT (PBE-GGA) results for crystalline TbPrGaAg at its relaxed geometry.

Unit cell a=5.2329 b=5.2329 c=5.2329 alpha=60.00 beta=60.00 gamma=60.00
With the nearest neighbours (Å) after each atom.
Element x y z (fractional)
Pr 0.5000 0.5000 0.5000  4 Ga 3.20, 4 Ag 3.20
Tb 0.0000 0.0000 0.0000  4 Ga 3.20, 4 Ag 3.20
Ga 0.7500 0.7500 0.7500  4 Pr 3.20, 4 Tb 3.20
Ag 0.2500 0.2500 0.2500  4 Tb 3.20, 4 Pr 3.20

total magnetic moment = 0.0 μB per cell
total energy = -16.9 eV for the cell shown
space-group type = F-43m
energy of formation from the pure elements = -0.415 eV/atom


[2]
DFT (PBE-GGA) results for crystalline TbPr2Ga2Ag2 at its relaxed geometry.

Unit cell a=4.6472 b=4.6472 c=9.6429 alpha=76.06 beta=76.06 gamma=60.00
With the nearest neighbours (Å) after each atom.
Element x y z (fractional)
Tb 0.0000 0.0000 0.0000  6 Ag 3.13, 6 Ga 3.29, 2 Pr 3.47
Pr 0.1248 0.1248 0.6257  3 Ga 3.11, 3 Ag 3.26, 1 Tb 3.47
Pr 0.8752 0.8752 0.3743  3 Ga 3.11, 3 Ag 3.26, 1 Tb 3.47
Ga 0.7350 0.7350 0.7951  3 Ag 2.70
Ga 0.2650 0.2650 0.2049  3 Ag 2.70
Ag 0.6084 0.6084 0.1747  3 Ga 2.70
Ag 0.3916 0.3916 0.8253  3 Ga 2.70

total magnetic moment = 0.0 μB per cell
total energy = -28.6 eV for the cell shown
space-group type = R-3m
energy of formation from the pure elements = -0.377 eV/atom


[3]
DFT (PBE-GGA) results for crystalline PrTlGaAg at its relaxed geometry.

Unit cell a=5.1350 b=5.1350 c=5.1350 alpha=60.00 beta=60.00 gamma=60.00
With the nearest neighbours (Å) after each atom.
Element x y z (fractional)
Pr 0.0000 0.0000 0.0000  4 Ga 3.14, 4 Ag 3.14
Tl 0.5000 0.5000 0.5000  4 Ga 3.14, 4 Ag 3.14
Ga 0.7500 0.7500 0.7500  4 Pr 3.14, 4 Tl 3.14
Ag 0.2500 0.2500 0.2500  4 Tl 3.14, 4 Pr 3.14

total magnetic moment = 0.0 μB per cell
total energy = -14.1 eV for the cell shown
space-group type = F-43m
energy of formation from the pure elements = -0.261 eV/atom


[4]
DFT (PBE-GGA) results for crystalline PrTm2Ga2Ag2 at its relaxed geometry.

Unit cell a=4.6540 b=4.6540 c=9.2711 alpha=75.46 beta=75.46 gamma=60.00
With the nearest neighbours (Å) after each atom.
Element x y z (fractional)
Pr 0.0000 0.0000 0.0000  6 Ag 3.35, 2 Tm 3.40, 6 Ga 3.44
Tm 0.1279 0.1279 0.6163  3 Ga 2.97, 3 Ag 3.03
Tm 0.8721 0.8721 0.3837  3 Ga 2.97, 3 Ag 3.03
Ga 0.7472 0.7472 0.7585  3 Ag 2.69, 3 Tm 2.97
Ga 0.2528 0.2528 0.2415  3 Ag 2.69, 3 Tm 2.97
Ag 0.5913 0.5913 0.2260  3 Ga 2.69
Ag 0.4087 0.4087 0.7740  3 Ga 2.69

total magnetic moment = 0.0 μB per cell
total energy = -28.1 eV for the cell shown
space-group type = R-3m
energy of formation from the pure elements = -0.375 eV/atom


[5]
DFT (PBE-GGA) results for crystalline PrYGaAg at its relaxed geometry.

Unit cell a=5.2302 b=5.2302 c=5.2302 alpha=60.00 beta=60.00 gamma=60.00
With the nearest neighbours (Å) after each atom.
Element x y z (fractional)
Pr 0.2500 0.2500 0.2500  4 Ga 3.20, 4 Ag 3.20
Y 0.7500 0.7500 0.7500  4 Ag 3.20, 4 Ga 3.20
Ga 0.5000 0.5000 0.5000  4 Pr 3.20, 4 Y 3.20
Ag 0.0000 0.0000 0.0000  4 Pr 3.20, 4 Y 3.20

total magnetic moment = 0.0 μB per cell
total energy = -18.8 eV for the cell shown
space-group type = F-43m
energy of formation from the pure elements = -0.430 eV/atom


[6]
DFT (PBE-GGA) results for crystalline PrZnGa2Ag at its relaxed geometry.

Unit cell a=4.3304 b=4.3304 c=6.2168 alpha=110.38 beta=110.38 gamma=90.00
With the nearest neighbours (Å) after each atom.
Element x y z (fractional)
Pr 0.0000 0.0000 0.0000  8 Ga 3.30, 4 Ag 3.46, 4 Zn 3.46
Zn 0.7500 0.2500 0.5000  4 Ga 2.62
Ga 0.6140 0.6140 0.2279  1 Ga 2.47, 2 Ag 2.62, 2 Zn 2.62
Ga 0.3860 0.3860 0.7721  1 Ga 2.47, 2 Zn 2.62, 2 Ag 2.62
Ag 0.2500 0.7500 0.5000  4 Ga 2.62

total magnetic moment = 0.0 μB per cell
total energy = -17.2 eV for the cell shown
space-group type = I-4m2
energy of formation from the pure elements = -0.445 eV/atom


[7]
DFT (PBE-GGA) results for crystalline Pr2Zn3Ga4Ag at its relaxed geometry.

Unit cell a=4.3140 b=4.3140 c=10.6941 alpha=90.00 beta=90.00 gamma=90.00
With the nearest neighbours (Å) after each atom.
Element x y z (fractional)
Pr 0.5000 0.0000 0.2457  6 Zn 3.28-3.47, 8 Ga 3.30-3.40, 2 Ag 3.47
Pr 0.0000 0.5000 0.7543  6 Zn 3.28-3.47, 8 Ga 3.30-3.40, 2 Ag 3.47
Zn 0.0000 0.0000 0.5000  4 Ga 2.61
Zn 0.5000 0.0000 0.8669  5 Ga 2.46-2.58
Zn 0.0000 0.5000 0.1331  5 Ga 2.46-2.58
Ga 0.5000 0.5000 0.0000  4 Zn 2.58
Ga 0.0000 0.0000 0.0000  4 Zn 2.58
Ga 0.5000 0.0000 0.6370  3 Zn 2.46-2.61, 2 Ag 2.61
Ga 0.0000 0.5000 0.3630  3 Zn 2.46-2.61, 2 Ag 2.61
Ag 0.5000 0.5000 0.5000  4 Ga 2.61

total magnetic moment = 0.0 μB per cell
total energy = -32.9 eV for the cell shown
space-group type = P-4m2
energy of formation from the pure elements = -0.456 eV/atom


[8]
DFT (PBE-GGA) results for crystalline PrZn2GaAg2 at its relaxed geometry.

Unit cell a=4.6827 b=4.6827 c=5.9471 alpha=90.00 beta=90.00 gamma=90.00
With the nearest neighbours (Å) after each atom.
Element x y z (fractional)
Pr 0.0000 0.0000 0.5000  2 Ga 2.97
Zn 0.5000 0.0000 0.0000  2 Ga 2.34
Zn 0.0000 0.5000 0.0000  2 Ga 2.34
Ga 0.0000 0.0000 0.0000  4 Zn 2.34
Ag 0.5000 0.5000 0.7328  1 Ag 2.77, 4 Zn 2.83
Ag 0.5000 0.5000 0.2672  1 Ag 2.77, 4 Zn 2.83

total magnetic moment = 0.0 μB per cell
total energy = -16.0 eV for the cell shown
space-group type = P4/mmm
energy of formation from the pure elements = 0.003 eV/atom


[9]
DFT (PBE-GGA) results for crystalline Pr2ZnGa6Ag at its relaxed geometry.

Unit cell a=6.4353 b=6.4353 c=12.6699 alpha=75.29 beta=75.29 gamma=60.00
With the nearest neighbours (Å) after each atom.
Element x y z (fractional)
Pr 0.8895 0.8895 0.3316  9 Ga 3.31-3.34
Pr 0.1105 0.1105 0.6684  9 Ga 3.31-3.34
Pr 0.7072 0.7072 0.8784  12 Ga 3.23-3.51
Pr 0.2928 0.2928 0.1216  12 Ga 3.23-3.51
Zn 0.5707 0.5707 0.2879  6 Ga 2.55-2.57, 1 Ag 2.57
Zn 0.4293 0.4293 0.7121  6 Ga 2.55-2.57, 1 Ag 2.57
Ga 0.9443 0.3351 0.3854  2 Ga 2.51, 1 Zn 2.55, 1 Ag 2.65
Ga 0.3351 0.9443 0.3854  2 Ga 2.51, 1 Zn 2.55, 1 Ag 2.65
Ga 0.3351 0.3351 0.3854  2 Ga 2.51, 1 Zn 2.55, 1 Ag 2.65
Ga 0.0557 0.6649 0.6146  2 Ga 2.51, 1 Zn 2.55, 1 Ag 2.65
Ga 0.6649 0.0557 0.6146  2 Ga 2.51, 1 Zn 2.55, 1 Ag 2.65
Ga 0.6649 0.6649 0.6146  2 Ga 2.51, 1 Zn 2.55, 1 Ag 2.65
Ga 0.6555 0.2323 0.8798  1 Zn 2.57, 1 Ag 2.59, 2 Ga 2.72
Ga 0.2323 0.6555 0.8798  1 Zn 2.57, 1 Ag 2.59, 2 Ga 2.72
Ga 0.2323 0.2323 0.8798  1 Zn 2.57, 1 Ag 2.59, 2 Ga 2.72
Ga 0.3445 0.7677 0.1202  1 Zn 2.57, 1 Ag 2.59, 2 Ga 2.72
Ga 0.7677 0.3445 0.1202  1 Zn 2.57, 1 Ag 2.59, 2 Ga 2.72
Ga 0.7677 0.7677 0.1202  1 Zn 2.57, 1 Ag 2.59, 2 Ga 2.72
Ag 0.0000 0.0000 0.0000  6 Ga 2.59
Ag 0.5000 0.5000 0.5000  2 Zn 2.57, 6 Ga 2.65

total magnetic moment = 0.0 μB per cell
total energy = -68.9 eV for the cell shown
space-group type = R-3m
energy of formation from the pure elements = -0.260 eV/atom


[10]
DFT (PBE-GGA) results for crystalline PrZrGaAg at its relaxed geometry.

Unit cell a=5.0730 b=5.0730 c=5.0730 alpha=60.00 beta=60.00 gamma=60.00
With the nearest neighbours (Å) after each atom.
Element x y z (fractional)
Pr 0.0000 0.0000 0.0000  4 Ag 3.11, 4 Ga 3.11
Ga 0.7500 0.7500 0.7500  4 Zr 3.11, 4 Pr 3.11
Zr 0.5000 0.5000 0.5000  4 Ag 3.11, 4 Ga 3.11
Ag 0.2500 0.2500 0.2500  4 Zr 3.11, 4 Pr 3.11

total magnetic moment = 0.7 μB per cell
total energy = -20.1 eV for the cell shown
space-group type = F-43m
energy of formation from the pure elements = -0.223 eV/atom


[11]
DFT (PBE-GGA) results for crystalline GaAgPt2 at its relaxed geometry.

Unit cell a=7.1614 b=7.1614 c=5.7412 alpha=51.41 beta=51.41 gamma=90.00
With the nearest neighbours (Å) after each atom.
Element x y z (fractional)
Ga 0.5000 0.5000 0.0000  4 Pt 2.46, 2 Ag 2.71
Ga 0.2500 0.7500 0.5000  4 Pt 2.46, 2 Ag 2.71
Ag 0.0000 0.0000 0.0000  2 Ga 2.71, 4 Pt 2.79
Ag 0.7500 0.2500 0.5000  2 Ga 2.71, 4 Pt 2.79
Pt 0.5910 0.1250 0.2500  2 Ga 2.46, 2 Pt 2.75
Pt 0.1590 0.6250 0.2500  2 Ga 2.46, 2 Pt 2.75
Pt 0.3750 0.4090 0.7500  2 Ga 2.46, 2 Pt 2.75
Pt 0.8750 0.8410 0.7500  2 Ga 2.46, 2 Pt 2.75

total magnetic moment = 0.0 μB per cell
total energy = -37.0 eV for the cell shown
space-group type = I-42d
energy of formation from the pure elements = -0.137 eV/atom


[12]
DFT (PBE-GGA) results for crystalline GaAg2Pt2 at its relaxed geometry.

Unit cell a=6.3488 b=6.3488 c=4.4511 alpha=90.00 beta=90.00 gamma=90.00
With the nearest neighbours (Å) after each atom.
Element x y z (fractional)
Ga 0.0000 0.0000 0.0000  4 Pt 2.44
Ga 0.5000 0.5000 0.0000  4 Pt 2.44
Ag 0.1621 0.6621 0.5000  6 Pt 2.82-2.96, 1 Ag 2.91
Ag 0.6621 0.8379 0.5000  6 Pt 2.82-2.96, 1 Ag 2.91
Ag 0.8379 0.3379 0.5000  6 Pt 2.82-2.96, 1 Ag 2.91
Ag 0.3379 0.1621 0.5000  6 Pt 2.82-2.96, 1 Ag 2.91
Pt 0.3558 0.8558 0.0000  2 Ga 2.44, 1 Pt 2.59
Pt 0.8558 0.6442 0.0000  2 Ga 2.44, 1 Pt 2.59
Pt 0.6442 0.1442 0.0000  2 Ga 2.44, 1 Pt 2.59
Pt 0.1442 0.3558 0.0000  2 Ga 2.44, 1 Pt 2.59

total magnetic moment = 0.0 μB per cell
total energy = -43.8 eV for the cell shown
space-group type = P4/mbm
energy of formation from the pure elements = -0.214 eV/atom


- The highest energy of formation from the pure elements belongs to which entry?
  PrZn2GaAg2


- What is the total magnetic moment in the fourth record?
  0.0 μB per cell


- Among the records above, which one has the lowest total energy?
  Pr2ZnGa6Ag


- Look up the total energy of the first one.
  -16.9 eV for the cell shown